# 1
ZnCoI2O | PBEsol | relaxed

- V (Å³/cell) = 109.90
- total energy (eV for the cell shown) = -16.27

Cell lengths 3.590, 5.532, 5.532 Å; angles 90.00, 90.00, 90.00 degrees
Fractional positions:
I1 0.000 0.000 0.500
I2 0.000 0.500 0.000
Zn1 0.000 0.000 0.000
Co1 0.500 0.500 0.500
O1 0.500 0.000 0.000

***

# 2
CoSb2OsI | PBEsol | relaxed

- V (Å³/cell) = 108.49
- total energy (eV for the cell shown) = -24.53

Cell lengths 4.684, 4.684, 4.944 Å; angles 90.00, 90.00, 90.00 degrees
Fractional positions:
I1 0.000 0.000 0.500
Sb1 0.000 0.500 0.000
Sb2 0.500 0.000 0.000
Os1 0.500 0.500 0.500
Co1 0.000 0.000 0.000

***

# 3
ScCoOs2I | PBEsol | relaxed

- V (Å³/cell) = 101.29
- total energy (eV for the cell shown) = -31.78

Cell lengths 4.402, 4.797, 4.797 Å; angles 90.00, 90.00, 90.00 degrees
Fractional positions:
I1 0.000 0.000 0.000
Co1 0.500 0.000 0.000
Os1 0.000 0.000 0.500
Os2 0.000 0.500 0.000
Sc1 0.500 0.500 0.500